1.
K2Sn2Hg3S8 | Alexandria via LeMat-Bulk | meta-GGA SCAN | single point on PBEsol structure; E = -758.07 eV/cell; density = 4.8 g cm⁻³; ΔE_f (raw) = -0.60 eV/atom
1.0
19.509 0.000 0.000
0.000 4.920 4.210
0.000 -4.920 4.210
K Sn Hg S
4 4 6 16
Cartesian
2.305 -2.861 4.210
7.449 2.059 4.210
12.060 -2.059 4.210
17.204 2.861 4.210
2.590 2.125 4.260
7.165 -2.796 4.260
12.345 2.796 4.260
16.919 -2.125 4.260
0.000 0.000 2.936
4.775 -0.377 5.868
4.979 -0.377 1.658
9.755 0.000 7.147
14.530 0.377 1.658
14.734 0.377 5.868
0.579 2.284 2.900
2.408 0.114 5.580
2.583 -0.794 1.399
4.547 2.098 2.940
5.208 -2.823 2.940
7.172 -0.794 5.609
7.346 0.114 1.370
9.176 -2.636 2.900
10.333 2.636 2.900
12.163 -0.114 1.370
12.338 0.794 5.609
14.301 2.823 2.940
14.963 -2.098 2.940
16.926 0.794 1.399
17.101 -0.114 5.580
18.931 -2.284 2.900

2.
KHgSb2 | Alexandria via LeMat-Bulk | meta-GGA SCAN | single point on PBEsol structure; E = -151.31 eV/cell; density = 6.8 g cm⁻³; ΔE_f (raw) = -0.07 eV/atom
1.0
4.052 0.000 0.000
0.000 4.052 0.000
0.000 0.000 7.210
K Hg Sb
1 1 2
Cartesian
0.000 0.000 0.000
0.000 0.000 3.605
2.026 2.026 2.225
2.026 2.026 4.985

3.
KHg2Sb | Alexandria via LeMat-Bulk | meta-GGA SCAN | single point on PBEsol structure; E = -182.12 eV/cell; density = 8.4 g cm⁻³; ΔE_f (raw) = -0.05 eV/atom
1.0
1.767 1.020 10.309
-1.767 1.020 10.309
0.000 -2.040 10.309
K Hg Sb
1 2 1
Cartesian
0.000 0.000 0.000
0.000 0.000 7.617
0.000 0.000 23.310
0.000 0.000 15.464

4.
K2HgSb2 | Alexandria via LeMat-Bulk | meta-GGA SCAN | single point on PBEsol structure; E = -322.68 eV/cell; density = 5.3 g cm⁻³; ΔE_f (raw) = -0.40 eV/atom
1.0
7.667 0.000 0.000
0.000 7.667 0.000
0.000 0.000 5.600
K Hg Sb
4 2 4
Cartesian
1.283 2.551 0.000
2.551 6.384 0.000
5.116 1.283 0.000
6.384 5.116 0.000
0.000 0.000 2.800
3.833 3.833 2.800
1.039 4.873 2.800
2.794 1.039 2.800
4.873 6.627 2.800
6.627 2.794 2.800

Number 1: N(E_F) 0.00 states/eV/atom. Number 2: N(E_F) 0.40 states/eV/atom. Number 3: N(E_F) 0.52 states/eV/atom. Number 4: N(E_F) 0.07 states/eV/atom.